VASP calculation (PBE) on crystalline CuHg2B2O6 at its relaxed geometry.

a b c (Å): 5.103 5.103 6.298
angles (deg): 66.10 66.10 60.00
Element x y z (fractional)
1 Cu 0.000 0.000 0.000
2 Hg 0.784 0.784 0.647
3 Hg 0.216 0.216 0.353
4 B 0.409 0.409 0.772
5 B 0.591 0.591 0.228
6 O 0.744 0.744 0.239
7 O 0.274 0.744 0.239
8 O 0.744 0.274 0.239
9 O 0.256 0.726 0.761
10 O 0.726 0.256 0.761
11 O 0.256 0.256 0.761

Computed properties:
Formation energy (no corrections) ... -1.08 eV per atom



VASP calculation (PBE) on crystalline AcNdY2As4 at its relaxed geometry.

a b c (Å): 4.274 7.393 7.403
angles (deg): 70.56 90.00 90.00
Element x y z (fractional)
1 Ac 0.500 0.500 0.000
2 Nd 0.000 0.500 0.500
3 Y 0.000 0.000 0.000
4 Y 0.500 0.000 0.500
5 As 0.000 0.768 0.738
6 As 0.000 0.232 0.262
7 As 0.500 0.763 0.252
8 As 0.500 0.237 0.748

Computed properties:
Energy of formation from the pure elements ... -1.496 eV/atom



VASP calculation (PBE) on crystalline Pa2Te2P at its relaxed geometry.

a b c (Å): 4.104 4.104 21.250
angles (deg): 90.00 90.00 120.00
Element x y z (fractional)
1 Pa 0.000 0.000 0.173
2 Pa 0.000 0.000 0.673
3 Pa 0.000 0.000 0.827
4 Pa 0.000 0.000 0.327
5 Te 0.333 0.667 0.583
6 Te 0.667 0.333 0.083
7 Te 0.667 0.333 0.417
8 Te 0.333 0.667 0.917
9 P 0.333 0.667 0.250
10 P 0.667 0.333 0.750

Computed properties:
Formation energy (no corrections) ... -0.85 eV per atom
Energy above the lowest structure with this stoichiometry ... 0 meV per atom



VASP calculation (PBE) on crystalline SrSi2Os at its relaxed geometry.

a b c (Å): 5.257 5.257 8.280
angles (deg): 71.49 71.49 90.00
Element x y z (fractional)
1 Sr 0.500 0.500 0.000
2 Sr 0.250 0.750 0.500
3 Si 0.875 0.125 0.250
4 Si 0.875 0.625 0.250
5 Si 0.375 0.125 0.750
6 Si 0.875 0.125 0.750
7 Os 0.000 0.000 0.000
8 Os 0.750 0.250 0.500

Computed properties:
Formation energy (no corrections) ... -0.26 eV per atom



VASP calculation (PBE) on crystalline LiYIr2 at its relaxed geometry.

a b c (Å): 8.427 8.427 8.427
angles (deg): 21.39 21.39 21.39
Element x y z (fractional)
1 Ir 0.996 0.996 0.996
2 Ir 0.504 0.504 0.504
3 Li 0.250 0.250 0.250
4 Y 0.750 0.750 0.750

Computed properties:
Energy of formation from the pure elements ... 0.013 eV/atom



VASP calculation (PBE) on crystalline YCdIn2H at its relaxed geometry.

a b c (Å): 4.742 4.742 4.497
angles (deg): 90.00 90.00 90.00
Element x y z (fractional)
1 Y 0.000 0.000 0.500
2 H 0.000 0.000 0.000
3 Cd 0.500 0.500 0.500
4 In 0.000 0.500 0.000
5 In 0.500 0.000 0.000



Computed total DFT energy (no corrections) (eV per atom) in order:
-5.424; -6.547; -6.987; -6.195; -6.512; -3.447
Computed total magnetic moment (Bohr magnetons per cell) in order:
1.3; 0.0; 1.8; 0.0; 0.0; 0.0
Computed DOS at the Fermi energy (states/eV/atom) in order:
0.185; 0.108; 0.863; 0.273; 1.008; 0.224